# 1
Below is an optimized crystal structure of MnCrFe4, with properties calculated at the PBE level.

a = 4.6814 Å, b = 4.6814 Å, c = 4.6814 Å
α = 60.00°, β = 60.00°, γ = 60.00°
Last column: nearest neighbours and their distance in Å.
Atoms (fractional coordinates):
Mn1 0.0000 0.0000 0.0000  12 Fe 2.74, 4 Cr 2.87
Cr1 0.7500 0.7500 0.7500  12 Fe 2.75, 4 Mn 2.87
Fe1 0.3741 0.3741 0.3741  6 Fe 2.32-2.36
Fe2 0.3741 0.3741 0.8777  6 Fe 2.32-2.36
Fe3 0.3741 0.8777 0.3741  6 Fe 2.32-2.36
Fe4 0.8777 0.3741 0.3741  6 Fe 2.32-2.36

## Properties
Offset from the most stable computed form in meV/atom: 0.0
Electronic total energy in eV per atom: -8.639
Energy relative to the elements in meV per atom: 135
Crystal system: cubic
Fermi-level density of states in states/eV per atom: 1.340

---

# 2
Below is an optimized crystal structure of MnCr2Fe, with properties calculated at the PBE level.

a = 2.4278 Å, b = 4.0103 Å, c = 4.7201 Å
α = 90.00°, β = 99.68°, γ = 90.00°
Last column: nearest neighbours and their distance in Å.
Atoms (fractional coordinates):
Mn1 0.0000 0.0000 0.0000  2 Mn 2.43, 4 Cr 2.43-2.49, 2 Fe 2.48
Cr1 0.5257 0.0000 0.5006  4 Cr 2.43-2.46, 2 Mn 2.44-2.49, 2 Fe 2.45
Cr2 0.7537 0.5000 0.2408  4 Cr 2.43-2.46, 2 Mn 2.43, 2 Fe 2.44-2.49
Fe1 0.2686 0.5000 0.7448  2 Fe 2.43, 4 Cr 2.44-2.49, 2 Mn 2.48

## Properties
Offset from the most stable computed form in meV/atom: 24.8
Electronic total energy in eV per atom: -9.136
Energy relative to the elements in meV per atom: 84
Crystal system: monoclinic
Fermi-level density of states in states/eV per atom: 1.342

---

# 3
Below is an optimized crystal structure of MnCr2FeN, with properties calculated at the PBE level.

a = 3.8254 Å, b = 3.8254 Å, c = 3.7083 Å
α = 90.00°, β = 90.00°, γ = 90.00°
Last column: nearest neighbours and their distance in Å.
Atoms (fractional coordinates):
Mn1 0.0000 0.0000 0.0000  8 Cr 2.66, 4 Fe 2.70
Cr1 0.0000 0.5000 0.5000  2 N 1.91
Cr2 0.5000 0.0000 0.5000  2 N 1.91
Fe1 0.5000 0.5000 0.0000  2 N 1.85
N1 0.5000 0.5000 0.5000  2 Fe 1.85, 4 Cr 1.91

## Properties
Offset from the most stable computed form in meV/atom: 0.0
Electronic total energy in eV per atom: -9.207
Crystal system: tetragonal
Fermi-level density of states in states/eV per atom: 0.743

---

# 4
Below is an optimized crystal structure of MnCr2FeN, with properties calculated at the PBE level.

a = 3.7857 Å, b = 3.7857 Å, c = 3.7399 Å
α = 90.00°, β = 90.00°, γ = 90.00°
Last column: nearest neighbours and their distance in Å.
Atoms (fractional coordinates):
Mn1 0.0000 0.0000 0.0000  2 N 1.87
Cr1 0.0000 0.5000 0.5000  2 N 1.89
Cr2 0.5000 0.0000 0.5000  2 N 1.89
Fe1 0.5000 0.5000 0.0000  8 Cr 2.66, 4 Mn 2.68
N1 0.0000 0.0000 0.5000  2 Mn 1.87, 4 Cr 1.89

## Properties
Offset from the most stable computed form in meV/atom: 34.3
Electronic total energy in eV per atom: -9.173
Crystal system: tetragonal
Fermi-level density of states in states/eV per atom: 0.979